Entry 1:
Compound: KFeO2
Source: the Alexandria database
Functional: GGA+U
Structure: relaxed

CIF file:
```
data_KFeO2
_chemical_formula_sum 'K2 Fe2 O4'
_symmetry_space_group_name_H-M 'P 1'
_symmetry_Int_Tables_number 1
_symmetry_space_group_name_Hall 'P 1'
_cell_length_a 6.849
_cell_length_b 6.849
_cell_length_c 8.611
_cell_angle_alpha 128.80
_cell_angle_beta 128.80
_cell_angle_gamma 27.17
loop_
_atom_site_label
_atom_site_type_symbol
_atom_site_fract_x
_atom_site_fract_y
_atom_site_fract_z
K1 K 0.168 0.168 0.169
K2 K 0.832 0.832 0.831
Fe1 Fe 0.001 0.001 0.659
Fe2 Fe 0.999 0.999 0.341
O1 O 0.133 0.133 0.631
O2 O 0.498 0.498 0.213
O3 O 0.502 0.502 0.787
O4 O 0.867 0.867 0.369
```

Output
space group = C2/m, No. 12
crystal system = monoclinic
DFT total energy = -44.89 eV for the cell shown

***

Entry 2:
Compound: K2FePO4
Source: the Alexandria database
Functional: GGA+U
Structure: relaxed

CIF file:
```
data_K2FePO4
_chemical_formula_sum 'K4 Fe2 P2 O8'
_symmetry_space_group_name_H-M 'P 1'
_symmetry_Int_Tables_number 1
_symmetry_space_group_name_Hall 'P 1'
_cell_length_a 11.452
_cell_length_b 10.289
_cell_length_c 6.281
_cell_angle_alpha 83.71
_cell_angle_beta 63.26
_cell_angle_gamma 33.03
loop_
_atom_site_label
_atom_site_type_symbol
_atom_site_fract_x
_atom_site_fract_y
_atom_site_fract_z
K1 K 0.051 0.051 0.699
K2 K 0.301 0.301 0.949
K3 K 0.699 0.699 0.051
K4 K 0.949 0.949 0.301
Fe1 Fe 0.125 0.125 0.125
Fe2 Fe 0.875 0.875 0.875
P1 P 0.375 0.375 0.375
P2 P 0.625 0.625 0.625
O1 O 0.074 0.590 0.517
O2 O 0.319 0.517 0.590
O3 O 0.410 0.926 0.681
O4 O 0.483 0.681 0.926
O5 O 0.517 0.319 0.074
O6 O 0.590 0.074 0.319
O7 O 0.681 0.483 0.410
O8 O 0.926 0.410 0.483
```

Output
space group = Fddd, No. 70
crystal system = orthorhombic
DFT total energy = -93.36 eV for the cell shown

***

Entry 3:
Compound: KFePO2
Source: the Alexandria database
Functional: GGA+U
Structure: relaxed

CIF file:
```
data_KFePO2
_chemical_formula_sum 'K1 Fe1 P1 O2'
_symmetry_space_group_name_H-M 'P 1'
_symmetry_Int_Tables_number 1
_symmetry_space_group_name_Hall 'P 1'
_cell_length_a 4.483
_cell_length_b 4.483
_cell_length_c 6.038
_cell_angle_alpha 90.00
_cell_angle_beta 90.00
_cell_angle_gamma 90.00
loop_
_atom_site_label
_atom_site_type_symbol
_atom_site_fract_x
_atom_site_fract_y
_atom_site_fract_z
K1 K 0.000 0.000 0.000
Fe1 Fe 0.500 0.500 0.500
P1 P 0.000 0.000 0.500
O1 O 0.000 0.500 0.000
O2 O 0.500 0.000 0.000
```

Output
space group = P4/mmm, No. 123
crystal system = tetragonal
energy relative to the lowest polymorph listed for this composition = 142.3 kJ per mole of atoms

***

Entry 4:
Compound: K2FeP2O6
Source: the Alexandria database
Functional: GGA+U
Structure: relaxed

CIF file:
```
data_K2FeP2O6
_chemical_formula_sum 'K2 Fe1 P2 O6'
_symmetry_space_group_name_H-M 'P 1'
_symmetry_Int_Tables_number 1
_symmetry_space_group_name_Hall 'P 1'
_cell_length_a 5.672
_cell_length_b 5.672
_cell_length_c 6.394
_cell_angle_alpha 115.93
_cell_angle_beta 115.93
_cell_angle_gamma 59.41
loop_
_atom_site_label
_atom_site_type_symbol
_atom_site_fract_x
_atom_site_fract_y
_atom_site_fract_z
K1 K 0.218 0.218 0.182
K2 K 0.782 0.782 0.818
Fe1 Fe 0.000 0.000 0.500
P1 P 0.445 0.445 0.801
P2 P 0.555 0.555 0.199
O1 O 0.265 0.723 0.258
O2 O 0.266 0.266 0.695
O3 O 0.277 0.735 0.742
O4 O 0.723 0.265 0.258
O5 O 0.734 0.734 0.305
O6 O 0.735 0.277 0.742
```

Output
space group = C2/m, No. 12
crystal system = monoclinic
DFT total energy = -71.07 eV for the cell shown

***

Entry 5:
Compound: K2FeP2O7
Source: the Alexandria database
Functional: GGA+U
Structure: relaxed

CIF file:
```
data_K2FeP2O7
_chemical_formula_sum 'K4 Fe2 P4 O14'
_symmetry_space_group_name_H-M 'P 1'
_symmetry_Int_Tables_number 1
_symmetry_space_group_name_Hall 'P 1'
_cell_length_a 8.202
_cell_length_b 8.202
_cell_length_c 5.631
_cell_angle_alpha 90.00
_cell_angle_beta 90.00
_cell_angle_gamma 90.00
loop_
_atom_site_label
_atom_site_type_symbol
_atom_site_fract_x
_atom_site_fract_y
_atom_site_fract_z
K1 K 0.166 0.334 0.011
K2 K 0.334 0.834 0.989
K3 K 0.666 0.166 0.989
K4 K 0.834 0.666 0.011
Fe1 Fe 0.000 0.000 0.500
Fe2 Fe 0.500 0.500 0.500
P1 P 0.133 0.633 0.540
P2 P 0.367 0.133 0.460
P3 P 0.633 0.867 0.460
P4 P 0.867 0.367 0.540
O1 O 0.000 0.500 0.638
O2 O 0.076 0.793 0.662
O3 O 0.136 0.636 0.272
O4 O 0.207 0.076 0.338
O5 O 0.293 0.576 0.662
O6 O 0.364 0.136 0.728
O7 O 0.424 0.293 0.338
O8 O 0.500 0.000 0.362
O9 O 0.576 0.707 0.338
O10 O 0.636 0.864 0.728
O11 O 0.707 0.424 0.662
O12 O 0.793 0.924 0.338
O13 O 0.864 0.364 0.272
O14 O 0.924 0.207 0.662
```

Output
space group = P-42_1m, No. 113
crystal system = tetragonal
DFT total energy = -159.47 eV for the cell shown

***

Entry 6:
Compound: KFePO2
Source: the Alexandria database
Functional: GGA+U
Structure: relaxed

CIF file:
```
data_KFePO2
_chemical_formula_sum 'K1 Fe1 P1 O2'
_symmetry_space_group_name_H-M 'P 1'
_symmetry_Int_Tables_number 1
_symmetry_space_group_name_Hall 'P 1'
_cell_length_a 4.095
_cell_length_b 4.095
_cell_length_c 4.678
_cell_angle_alpha 90.00
_cell_angle_beta 90.00
_cell_angle_gamma 90.00
loop_
_atom_site_label
_atom_site_type_symbol
_atom_site_fract_x
_atom_site_fract_y
_atom_site_fract_z
K1 K 0.000 0.000 0.000
Fe1 Fe 0.500 0.500 0.500
P1 P 0.500 0.500 0.000
O1 O 0.000 0.500 0.500
O2 O 0.500 0.000 0.500
```

Output
space group = P4/mmm, No. 123
crystal system = tetragonal
energy relative to the lowest polymorph listed for this composition = 0.0 kJ per mole of atoms

***

Entry 7:
Compound: K2FeSnP3O12
Source: the Alexandria database
Functional: GGA+U
Structure: relaxed

CIF file:
```
data_K2FeSnP3O12
_chemical_formula_sum 'K8 Fe4 Sn4 P12 O48'
_symmetry_space_group_name_H-M 'P 1'
_symmetry_Int_Tables_number 1
_symmetry_space_group_name_Hall 'P 1'
_cell_length_a 10.079
_cell_length_b 10.079
_cell_length_c 10.079
_cell_angle_alpha 90.00
_cell_angle_beta 90.00
_cell_angle_gamma 90.00
loop_
_atom_site_label
_atom_site_type_symbol
_atom_site_fract_x
_atom_site_fract_y
_atom_site_fract_z
K1 K 0.063 0.437 0.563
K2 K 0.202 0.798 0.298
K3 K 0.298 0.202 0.798
K4 K 0.437 0.563 0.063
K5 K 0.563 0.063 0.437
K6 K 0.702 0.702 0.702
K7 K 0.798 0.298 0.202
K8 K 0.937 0.937 0.937
Fe1 Fe 0.147 0.147 0.147
Fe2 Fe 0.353 0.853 0.647
Fe3 Fe 0.647 0.353 0.853
Fe4 Fe 0.853 0.647 0.353
Sn1 Sn 0.086 0.586 0.914
Sn2 Sn 0.414 0.414 0.414
Sn3 Sn 0.586 0.914 0.086
Sn4 Sn 0.914 0.086 0.586
P1 P 0.040 0.771 0.624
P2 P 0.124 0.460 0.229
P3 P 0.229 0.124 0.460
P4 P 0.271 0.876 0.960
P5 P 0.376 0.540 0.729
P6 P 0.460 0.229 0.124
P7 P 0.540 0.729 0.376
P8 P 0.624 0.040 0.771
P9 P 0.729 0.376 0.540
P10 P 0.771 0.624 0.040
P11 P 0.876 0.960 0.271
P12 P 0.960 0.271 0.876
O1 O 0.001 0.917 0.656
O2 O 0.013 0.692 0.755
O3 O 0.019 0.551 0.293
O4 O 0.051 0.207 0.981
O5 O 0.081 0.314 0.238
O6 O 0.083 0.156 0.499
O7 O 0.156 0.499 0.083
O8 O 0.186 0.762 0.581
O9 O 0.192 0.745 0.987
O10 O 0.207 0.981 0.051
O11 O 0.238 0.081 0.314
O12 O 0.245 0.513 0.808
O13 O 0.255 0.487 0.308
O14 O 0.262 0.919 0.814
O15 O 0.293 0.019 0.551
O16 O 0.308 0.255 0.487
O17 O 0.314 0.238 0.081
O18 O 0.344 0.501 0.583
O19 O 0.417 0.844 0.999
O20 O 0.419 0.686 0.738
O21 O 0.449 0.793 0.481
O22 O 0.481 0.449 0.793
O23 O 0.487 0.308 0.255
O24 O 0.499 0.083 0.156
O25 O 0.501 0.583 0.344
O26 O 0.513 0.808 0.245
O27 O 0.519 0.949 0.707
O28 O 0.551 0.293 0.019
O29 O 0.581 0.186 0.762
O30 O 0.583 0.344 0.501
O31 O 0.656 0.001 0.917
O32 O 0.686 0.738 0.419
O33 O 0.692 0.755 0.013
O34 O 0.707 0.519 0.949
O35 O 0.738 0.419 0.686
O36 O 0.745 0.987 0.192
O37 O 0.755 0.013 0.692
O38 O 0.762 0.581 0.186
O39 O 0.793 0.481 0.449
O40 O 0.808 0.245 0.513
O41 O 0.814 0.262 0.919
O42 O 0.844 0.999 0.417
O43 O 0.917 0.656 0.001
O44 O 0.919 0.814 0.262
O45 O 0.949 0.707 0.519
O46 O 0.981 0.051 0.207
O47 O 0.987 0.192 0.745
O48 O 0.999 0.417 0.844
```

Output
space group = P2_13, No. 198
crystal system = cubic
DFT total energy = -510.76 eV for the cell shown

***

Entry 8:
Compound: KPaFeO5
Source: the Alexandria database
Functional: GGA+U
Structure: relaxed

CIF file:
```
data_KPaFeO5
_chemical_formula_sum 'K2 Pa2 Fe2 O10'
_symmetry_space_group_name_H-M 'P 1'
_symmetry_Int_Tables_number 1
_symmetry_space_group_name_Hall 'P 1'
_cell_length_a 6.231
_cell_length_b 6.231
_cell_length_c 8.158
_cell_angle_alpha 105.33
_cell_angle_beta 105.33
_cell_angle_gamma 105.25
loop_
_atom_site_label
_atom_site_type_symbol
_atom_site_fract_x
_atom_site_fract_y
_atom_site_fract_z
K1 K 0.168 0.832 0.750
K2 K 0.832 0.168 0.250
Pa1 Pa 0.500 0.500 0.000
Pa2 Pa 0.500 0.500 0.500
Fe1 Fe 0.187 0.813 0.250
Fe2 Fe 0.813 0.187 0.750
O1 O 0.131 0.267 0.892
O2 O 0.215 0.619 0.389
O3 O 0.267 0.131 0.392
O4 O 0.381 0.785 0.111
O5 O 0.434 0.566 0.750
O6 O 0.566 0.434 0.250
O7 O 0.619 0.215 0.889
O8 O 0.733 0.869 0.608
O9 O 0.785 0.381 0.611
O10 O 0.869 0.733 0.108
```

Output
space group = C2/c, No. 15
crystal system = monoclinic
DFT total energy = -118.81 eV for the cell shown